Record 1
VASP calculation (PBE) on a geometry-optimized Mn3TcSe structure.

extended XYZ file:
```
5
Lattice="4.669 0.000 0.000 0.000 4.669 0.000 0.000 0.000 4.669" Properties=species:S:1:pos:R:3 pbc="T T T"
Mn 0.000 0.000 2.335
Mn 0.000 2.335 0.000
Mn 2.335 0.000 0.000
Tc 0.000 0.000 0.000
Se 2.335 2.335 2.335
```

## Properties
- excess energy over the best structure of this formula in the dataset (kcal/mol of atoms) = 0.00
- uncorrected formation energy (meV/atom) = 1129
- SG = No. 221

---

Record 2
VASP calculation (PBE) on a geometry-optimized Ho5ErSc5 structure.

extended XYZ file:
```
11
Lattice="5.763 0.000 0.000 -2.882 4.991 0.000 0.000 0.000 11.220" Properties=species:S:1:pos:R:3 pbc="T T T"
Ho 0.000 0.000 0.000
Ho 0.000 3.328 3.572
Ho 0.000 3.328 7.647
Ho 2.882 1.664 1.793
Ho 2.882 1.664 9.426
Er 0.000 3.328 0.000
Sc 0.000 0.000 3.016
Sc 0.000 0.000 8.203
Sc 1.425 0.822 5.610
Sc 4.339 0.822 5.610
Sc 2.882 3.346 5.610
```

## Properties
- SG = No. 187
- energy of formation from the pure elements (eV/atom) = 0.25

---

Record 3
VASP calculation (PBE) on a geometry-optimized BeSiTcO2 structure.

extended XYZ file:
```
5
Lattice="3.736 0.000 0.000 0.000 3.736 0.000 0.000 0.000 4.989" Properties=species:S:1:pos:R:3 pbc="T T T"
Be 0.000 0.000 0.000
Si 1.868 1.868 0.000
Tc 0.000 0.000 2.495
O 0.000 1.868 2.495
O 1.868 0.000 2.495
```

## Properties
- uncorrected formation energy (meV/atom) = -191
- SG = No. 123

---

Record 4
VASP calculation (PBE) on a geometry-optimized Ca2CeScAs4 structure.

extended XYZ file:
```
8
Lattice="7.111 0.000 0.000 0.000 4.174 0.000 -2.421 0.000 6.806" Properties=species:S:1:pos:R:3 pbc="T T T"
Ca 0.000 0.000 0.000
Ca 3.556 2.087 0.000
Ce -1.210 2.087 3.403
Sc 2.345 0.000 3.403
As 0.034 0.000 4.981
As 1.235 2.087 1.864
As 3.455 2.087 4.942
As 4.656 0.000 1.826
```

## Properties
- SG = No. 10
- energy of formation from the pure elements (eV/atom) = -1.19

---

| no. | raw total energy (eV/atom) |
| --- | --- |
| 1 | -7.14 |
| 2 | -5.13 |
| 3 | -6.08 |
| 4 | -5.55 |